[1]
This record from Alexandria via LeMat-Bulk describes BaLi2SiH after structural relaxation. The functional is PBE-GGA.

Output
uncorrected energy: -3.201 eV per atom

Cell lengths 6.4465, 6.4465, 8.0286 Å; angles 90.00, 90.00, 143.78 degrees
Fractional coordinates of all 10 atoms:
Ba: 0.0493 0.9507 0.7500
Ba: 0.9507 0.0493 0.2500
Li: 0.3323 0.6677 0.5530
Li: 0.3323 0.6677 0.9470
Li: 0.6677 0.3323 0.0530
Li: 0.6677 0.3323 0.4470
Si: 0.2294 0.7706 0.2500
Si: 0.7706 0.2294 0.7500
H: 0.5000 0.5000 0.0000
H: 0.5000 0.5000 0.5000



[2]
This record from Alexandria via LeMat-Bulk describes NiRh3 after structural relaxation. The functional is PBE-GGA.

Output
formation energy: 0.075 eV/atom
uncorrected energy: -6.884 eV per atom

Cell lengths 8.7147, 8.7147, 8.7147 Å; angles 17.86, 17.86, 17.86 degrees
Fractional coordinates of all 4 atoms:
Ni: 0.0000 0.0000 0.0000
Rh: 0.2527 0.2527 0.2527
Rh: 0.5000 0.5000 0.5000
Rh: 0.7473 0.7473 0.7473



[3]
This record from Alexandria via LeMat-Bulk describes CaMg3Cu after structural relaxation. The functional is PBE-GGA.

Output
formation energy: 0.343 eV/atom
energy above the lowest structure with this stoichiometry: 450 meV/atom
uncorrected energy: -1.834 eV per atom

Cell lengths 6.8418, 6.8418, 6.0300 Å; angles 90.00, 90.00, 99.57 degrees
Fractional coordinates of all 10 atoms:
Ca: 0.0000 0.0000 0.0000
Ca: 0.0000 0.0000 0.5000
Mg: 0.2387 0.4019 0.2500
Mg: 0.2950 0.7050 0.7500
Mg: 0.4019 0.2387 0.7500
Mg: 0.5981 0.7613 0.2500
Mg: 0.7050 0.2950 0.2500
Mg: 0.7613 0.5981 0.7500
Cu: 0.2285 0.7715 0.2500
Cu: 0.7715 0.2285 0.7500



The lowest uncorrected energy belongs to which entry?
NiRh3



Among the records above, which one has the highest uncorrected energy?
CaMg3Cu



Copy entry 2 word for word.
This record from Alexandria via LeMat-Bulk describes NiRh3 after structural relaxation. The functional is PBE-GGA.

Output
formation energy: 0.075 eV/atom
uncorrected energy: -6.884 eV per atom

Cell lengths 8.7147, 8.7147, 8.7147 Å; angles 17.86, 17.86, 17.86 degrees
Fractional coordinates of all 4 atoms:
Ni: 0.0000 0.0000 0.0000
Rh: 0.2527 0.2527 0.2527
Rh: 0.5000 0.5000 0.5000
Rh: 0.7473 0.7473 0.7473



Look up the uncorrected energy of the third one.
-1.834 eV per atom